# TmZrOs2

A relaxed structure of TmZrOs2 (PBE, the Alexandria database).

a b c (Å): 3.312 3.312 6.696
angles (deg): 90.00 90.00 90.00
Space group P4/mmm (No. 123)
Unique sites:
Tm (0.000, 0.000, 0.000) [1 per cell]
Zr (0.000, 0.000, 0.500) [1 per cell]
Os (0.500, 0.500, 0.263) [2 per cell]

Calculated values
* size of the total moment: 0.0000 μB per atom
* formation energy from the elements: -36.5 kJ per mole of atoms